No. 1
DFT (GGA-PBE) results for a geometry-optimized HfAl3Se structure.

Lattice parameters (Å, degrees): 4.8161 4.8161 4.8161 90.00 90.00 90.00
With the nearest neighbours (Å) after each atom.
Element x y z (fractional)
Se 0.0000 0.0000 0.0000  6 Al 2.41
Hf 0.5000 0.5000 0.5000  12 Al 3.41
Al 0.0000 0.5000 0.0000  2 Se 2.41
Al 0.0000 0.0000 0.5000  2 Se 2.41
Al 0.5000 0.0000 0.0000  2 Se 2.41

## Properties
- total magnetization (μB per formula unit) = 0.00
- final energy (eV/atom) = -4.2429
- calculated volume (Å³/atom) = 22.341
- energy relative to the elements, uncorrected (eV per formula unit) = 3.451
- space group = No. 221

***

No. 2
DFT (GGA-PBE) results for a geometry-optimized YTi2Pt structure.

Lattice parameters (Å, degrees): 5.2667 5.3479 6.7434 101.13 90.76 118.73
With the nearest neighbours (Å) after each atom.
Element x y z (fractional)
Ti 0.6078 0.5424 0.7904  4 Ti 2.59-2.89, 3 Pt 2.71-2.79
Ti 0.1313 0.1062 0.9104  3 Ti 2.46-2.75, 1 Pt 2.52
Ti 0.0656 0.9684 0.5359  1 Ti 2.46, 1 Pt 2.52
Ti 0.1017 0.5472 0.7812  4 Ti 2.59-2.87, 3 Pt 2.76-2.82
Pt 0.5895 0.0173 0.6933  8 Ti 2.71-3.02, 1 Y 2.85
Pt 0.9732 0.7742 0.1561  3 Ti 2.52-2.78
Y 0.6503 0.1336 0.1609  4 Pt 3.01-3.13, 2 Ti 3.11-3.12, 3 Y 3.23-3.35
Y 0.3598 0.5495 0.3389  2 Pt 2.85-3.16, 1 Ti 3.15

## Properties
- total magnetization (μB per formula unit) = 0.00
- final energy (eV/atom) = -7.4893
- calculated volume (Å³/atom) = 20.270
- energy of formation (kJ per mole of atoms) = -40.10
- space group = No. 1

***

No. 3
DFT (GGA-PBE) results for a geometry-optimized HfTlTe2 structure.

Lattice parameters (Å, degrees): 5.3192 5.3192 5.3192 60.00 60.00 60.00
With the nearest neighbours (Å) after each atom.
Element x y z (fractional)
Tl 0.5000 0.5000 0.5000  8 Te 3.26
Te 0.2500 0.2500 0.2500  4 Tl 3.26, 4 Hf 3.26
Te 0.7500 0.7500 0.7500  4 Hf 3.26, 4 Tl 3.26
Hf 0.0000 0.0000 0.0000  8 Te 3.26

## Properties
- total magnetization (μB per formula unit) = 0.98
- final energy (eV/atom) = -4.7509
- calculated volume (Å³/atom) = 26.605
- energy relative to the elements, uncorrected (eV per formula unit) = -0.401
- space group = No. 225